## Sb2TeHPt (PBE)

Data for Sb2TeHPt after structural relaxation.

The space group is P4/mmm (No. 123) and the conventional cell measures 5.434, 5.434 and 3.560 Å, with angles of 90.00, 90.00 and 90.00 degrees. The inequivalent atoms are Sb at (0.000, 0.500, 0.000), Te at (0.000, 0.000, 0.500), H at (0.500, 0.500, 0.500) and Pt at (0.500, 0.500, 0.000).

The uncorrected energy is -4.19 eV/atom. As for the total magnetization: 0.00 Bohr magnetons per cell. As for the polymorph energy (0 for the lowest one): 0.0 kJ/mol of formula units.